DFT (PBE-GGA) results for an optimized crystal structure of TlAsWSe2.

The structure in POSCAR format:
```
TlAsWSe2
1.0
5.050 0.000 0.000
0.000 5.050 0.000
0.000 0.000 4.944
Tl As W Se
1 1 1 2
Direct
0.000 0.000 0.000 Tl
0.500 0.500 0.000 As
0.500 0.500 0.500 W
0.000 0.500 0.500 Se
0.500 0.000 0.500 Se
```

Properties
volume	25.22	A^3/atom
spin magnetization	0.0	μB per formula unit
E_form (uncorrected)	0.133	eV/atom